VASP calculation (PBE) on a relaxed NaLuIn2 crystal.

Computed properties:
* ΔH_f (0 K): -0.2630 eV per atom
* SG: P4/mmm (123)

Unit cell a=3.5894 b=5.3171 c=5.3171 alpha=90.00 beta=90.00 gamma=90.00
Positions (direct):
Na 0.5000 0.0000 0.0000
In 0.0000 0.5000 0.0000
In 0.0000 0.0000 0.5000
Lu 0.5000 0.5000 0.5000